A relaxed MnCu2F crystal, computed with PBE with a Hubbard U.

Energy above the most stable polymorph in this dataset in meV per atom: 0.0
DFT total energy in eV/cell: -37.45
V in A^3/atom: 13.97
ρ in g/cm³: 5.97
Density of states at the Fermi level in states/eV/cell: 1.8

Geometry as POSCAR:
```
MnCu2F
1.0
6.945 0.000 0.000
0.000 6.945 0.000
3.473 3.473 2.318
F Mn Cu
2 2 4
direct
0.250 0.750 0.500
0.500 0.500 0.000
0.750 0.250 0.500
0.000 0.000 0.000
0.169 0.625 0.250
0.581 0.125 0.250
0.375 0.419 0.750
0.875 0.831 0.750
```